Arrangement 1

This record from Alexandria describes YScW after structural relaxation. The functional is PBE-GGA.

```
data_YScW
_chemical_formula_sum 'Y4 Sc4 W4'
_space_group_name_H-M_alt 'C 1 2 1'
_space_group_IT_number 5
_cell_length_a 10.4628
_cell_length_b 5.1590
_cell_length_c 6.2721
_cell_angle_alpha 90.00
_cell_angle_beta 126.06
_cell_angle_gamma 90.00
loop_
_space_group_symop_operation_xyz
'x,y,z'
'-x,y,-z'
'x+1/2,y+1/2,z'
'-x+1/2,y+1/2,-z'
loop_
_atom_site_label
_atom_site_fract_x
_atom_site_fract_y
_atom_site_fract_z
Y1 0.1280 0.0000 0.3686
Sc1 0.0000 0.5016 0.5000
Sc2 0.0000 0.5060 0.0000
W1 0.2218 0.8404 0.9537
```

Values from the calculation:
The calculation puts the volume at 22.81 A^3/atom.



Arrangement 2

This record from Alexandria describes YScW after structural relaxation. The functional is PBE-GGA.

```
data_YScW
_chemical_formula_sum 'Y1 Sc1 W1'
_space_group_name_H-M_alt 'P 3 m 1'
_space_group_IT_number 156
_cell_length_a 3.1314
_cell_length_b 3.1314
_cell_length_c 7.9011
_cell_angle_alpha 90.00
_cell_angle_beta 90.00
_cell_angle_gamma 120.00
loop_
_space_group_symop_operation_xyz
'x,y,z'
'-y,x-y,z'
'-x+y,-x,z'
'-y,-x,z'
'-x+y,y,z'
'x,x-y,z'
loop_
_atom_site_label
_atom_site_fract_x
_atom_site_fract_y
_atom_site_fract_z
Y1 0.0000 0.0000 0.0000
Sc1 0.6667 0.3333 0.3921
W1 0.3333 0.6667 0.6797
```

Values from the calculation:
The calculation puts the volume at 22.37 A^3/atom.



Arrangement 3

This record from Alexandria describes YScW after structural relaxation. The functional is PBE-GGA.

```
data_YScW
_chemical_formula_sum 'Y4 Sc4 W4'
_space_group_name_H-M_alt 'F -4 3 m'
_space_group_IT_number 216
_space_group_name_Hall 'F -4 2 3'
_cell_length_a 6.8031
_cell_length_b 6.8031
_cell_length_c 6.8031
_cell_angle_alpha 90.00
_cell_angle_beta 90.00
_cell_angle_gamma 90.00
loop_
_atom_site_label
_atom_site_fract_x
_atom_site_fract_y
_atom_site_fract_z
Y1 0.0000 0.0000 0.0000
Sc1 0.2500 0.2500 0.7500
W1 0.2500 0.2500 0.2500
```

Values from the calculation:
The calculation puts the volume at 26.24 A^3/atom.



Which structure loses on stability? arrangement 3 does.



Arrangement 1

This record from Alexandria describes YScW after structural relaxation. The functional is PBE-GGA.

```
data_YScW
_chemical_formula_sum 'Y2 Sc2 W2'
_space_group_name_H-M_alt 'I 4 m m'
_space_group_IT_number 107
_space_group_name_Hall 'I 4 -2'
_cell_length_a 3.3808
_cell_length_b 3.3808
_cell_length_c 12.3362
_cell_angle_alpha 90.00
_cell_angle_beta 90.00
_cell_angle_gamma 90.00
loop_
_atom_site_label
_atom_site_fract_x
_atom_site_fract_y
_atom_site_fract_z
Y1 0.0000 0.0000 0.0000
Sc1 0.0000 0.0000 0.7250
W1 0.0000 0.0000 0.3499
```

Values from the calculation:
The calculation puts the volume at 23.50 A^3/atom.



Arrangement 2

This record from Alexandria describes YScW after structural relaxation. The functional is PBE-GGA.

```
data_YScW
_chemical_formula_sum 'Y2 Sc2 W2'
_space_group_name_H-M_alt 'P 1 m 1'
_space_group_IT_number 6
_cell_length_a 5.7093
_cell_length_b 4.7768
_cell_length_c 5.7635
_cell_angle_alpha 90.00
_cell_angle_beta 119.47
_cell_angle_gamma 90.00
loop_
_space_group_symop_operation_xyz
'x,y,z'
'x,-y,z'
loop_
_atom_site_label
_atom_site_fract_x
_atom_site_fract_y
_atom_site_fract_z
Y1 0.0000 0.0000 0.0000
Y2 0.3107 0.0000 0.6209
Sc1 0.6504 0.5000 0.0148
Sc2 0.9443 0.5000 0.6018
W1 0.3780 0.5000 0.3089
W2 0.6188 0.0000 0.3103
```

Values from the calculation:
The calculation puts the volume at 22.81 A^3/atom.



Which structure loses on stability? arrangement 1 does.